# NiAgOs2

Crystalline NiAgOs2 at its relaxed geometry (PBE, Alexandria).

Computed properties:
Its magnetization is 0.00 μB per cell. The total DFT energy (no corrections) is -7.398 eV per atom. For the density of states at the Fermi level, the calculation gives 0.95 states/eV/atom. For the energy relative to the elements, the calculation gives 0.3750 eV/atom. The relative energy among the computed polymorphs comes out at 78 meV/atom.

a = 3.773 Å, b = 2.755 Å, c = 6.211 Å
α = 63.61°, β = 90.00°, γ = 90.00°
Positions (direct):
Os 0.500 0.284 0.216
Os 0.000 0.990 0.010
Ni 0.500 0.742 0.758
Ag 0.000 0.484 0.515